No. 1
Hf2Si2Os meta-GGA SCAN single point on PBEsol structure; raw formation energy = -0.89 eV/atom
1.0
-0.015 3.883 -1.257
-4.135 -1.456 -4.448
-4.680 1.258 3.939
Hf Si Os
4 4 2
Cartesian
-3.879 2.536 1.253
-6.660 2.000 -0.371
-4.951 1.149 -3.018
-2.170 1.685 -1.395
-5.560 0.557 1.784
-6.548 -0.461 -1.348
-3.255 -0.755 -2.292
-2.267 0.263 0.840
0.000 0.000 0.000
-4.407 -0.099 -0.254


No. 2
MgRh2 meta-GGA SCAN single point on PBEsol structure; uncorrected energy = -23.73 eV/atom
1.0
4.104 0.000 0.000
2.052 3.554 0.000
2.052 1.185 3.351
Mg Rh
1 2
Cartesian
0.000 0.000 0.000
6.156 3.554 2.513
2.052 1.185 0.838


No. 3
YTlNi2 meta-GGA SCAN single point on PBEsol structure; uncorrected energy = -33.20 eV/atom
1.0
3.518 0.000 0.000
0.000 4.351 0.000
-1.759 -2.175 4.532
Ni Tl Y
2 1 1
Cartesian
0.000 0.000 0.317
1.759 0.000 2.028
0.000 0.000 4.380
0.000 2.175 2.340


No. 4
ZrInIr2 meta-GGA SCAN single point on PBEsol structure; uncorrected energy = -52.21 eV/atom
1.0
3.134 0.000 0.000
0.000 4.664 -0.008
0.000 -0.709 4.610
In Ir Zr
1 2 1
Cartesian
1.567 1.977 2.301
0.000 2.332 -0.004
0.000 -0.355 2.305
1.567 0.000 0.000


No. 5
Rh3WI meta-GGA SCAN single point on PBEsol structure; raw formation energy = 1.93 eV/atom
1.0
4.687 0.000 0.000
0.000 4.687 0.000
0.000 0.000 4.687
I Rh W
1 3 1
Cartesian
0.000 0.000 0.000
0.000 2.344 0.000
0.000 0.000 2.344
2.344 0.000 0.000
2.344 2.344 2.344


No. 6
AgRuPt2 meta-GGA SCAN single point on PBEsol structure; polymorph energy (0 for the lowest one) = 162 meV per atom
1.0
2.737 0.000 0.000
0.000 2.737 0.000
0.000 0.000 7.959
Ag Pt Ru
1 2 1
Cartesian
1.369 1.369 5.938
0.000 0.000 0.066
1.369 1.369 2.072
0.000 0.000 3.862